# 1
Density functional theory data (meta-GGA SCAN) for a PBEsol-optimized structure of KHg2H.

Geometry as POSCAR:
```
KHg2H
1.0
5.2373 0.0000 0.0000
2.6186 4.5356 0.0000
2.6186 1.5119 4.2762
K H Hg
1 1 2
Direct
0.5000 0.5000 0.5000 K
0.0000 0.0000 0.0000 H
0.2500 0.2500 0.2500 Hg
0.7500 0.7500 0.7500 Hg
```

Summary:
For the uncorrected energy, the calculation gives -36.8738 eV per atom.

# 2
Density functional theory data (meta-GGA SCAN) for a PBEsol-optimized structure of K2HgH.

Geometry as POSCAR:
```
K2HgH
1.0
-1.1919 3.0546 -4.4538
-4.4391 -1.2036 -3.0714
-4.3901 3.3633 0.0477
K Hg H
2 1 1
Direct
0.2500 0.2500 0.2500 K
0.7500 0.7500 0.7500 K
0.5000 0.5000 0.5000 Hg
0.0000 0.0000 0.0000 H
```

Summary:
For the uncorrected energy, the calculation gives -22.0721 eV per atom.

# 3
Density functional theory data (meta-GGA SCAN) for a PBEsol-optimized structure of K2HgH2.

Geometry as POSCAR:
```
K2HgH2
1.0
-0.6172 2.9917 1.3833
-1.6336 -3.6240 7.1089
7.8372 0.6347 2.1245
K Hg H
4 2 4
Direct
0.0000 0.3589 0.8589 K
0.0000 0.1411 0.3589 K
0.0000 0.8589 0.6411 K
0.0000 0.6411 0.1411 K
0.0000 0.0000 0.0000 Hg
0.0000 0.5000 0.5000 Hg
0.5000 0.3523 0.1477 H
0.5000 0.8523 0.3523 H
0.5000 0.6477 0.8523 H
0.5000 0.1477 0.6477 H
```

Summary:
For the uncorrected energy, the calculation gives -18.4371 eV per atom.

# 4
Density functional theory data (meta-GGA SCAN) for a PBEsol-optimized structure of KHgH2Pb.

Geometry as POSCAR:
```
KHgH2Pb
1.0
4.3816 0.0000 0.0000
0.0000 4.3816 0.0000
0.0000 0.0000 6.7124
Hg H K Pb
1 2 1 1
Direct
0.5000 0.5000 0.5000 Hg
0.0000 0.5000 0.0000 H
0.5000 0.0000 0.0000 H
0.0000 0.0000 0.5000 K
0.0000 0.0000 0.0000 Pb
```

Summary:
For the uncorrected energy, the calculation gives -31.4491 eV per atom.

# 5
Density functional theory data (meta-GGA SCAN) for a PBEsol-optimized structure of LaHgMo2H.

Geometry as POSCAR:
```
LaHgMo2H
1.0
-1.7726 -2.8647 -0.5570
4.2116 -2.8940 1.4807
-1.7144 0.0817 5.0358
Mo H Hg La
2 1 1 1
Direct
0.0000 0.0000 0.5000 Mo
0.0000 0.5000 0.0000 Mo
0.5000 0.0000 0.0000 H
0.0000 0.0000 0.0000 Hg
0.5000 0.5000 0.5000 La
```

Summary:
For the uncorrected energy, the calculation gives -35.5997 eV per atom.

# 6
Density functional theory data (meta-GGA SCAN) for a PBEsol-optimized structure of Li3HgH.

Geometry as POSCAR:
```
Li3HgH
1.0
4.0308 0.0000 0.0000
0.0000 4.0308 0.0000
0.0000 0.0000 4.0308
Li Hg H
3 1 1
Direct
0.0000 0.0000 0.5000 Li
0.5000 0.0000 0.0000 Li
0.0000 0.5000 0.0000 Li
0.5000 0.5000 0.5000 Hg
0.0000 0.0000 0.0000 H
```

Summary:
For the uncorrected energy, the calculation gives -16.1464 eV per atom.

# 7
Density functional theory data (meta-GGA SCAN) for a PBEsol-optimized structure of MgHgH3.

Geometry as POSCAR:
```
MgHgH3
1.0
3.9278 0.0000 0.0000
0.0000 3.9278 0.0000
0.0000 0.0000 3.9278
H Mg Hg
3 1 1
Direct
0.5000 0.0000 0.0000 H
0.0000 0.5000 0.0000 H
0.0000 0.0000 0.5000 H
0.5000 0.5000 0.5000 Mg
0.0000 0.0000 0.0000 Hg
```

Summary:
For the uncorrected energy, the calculation gives -16.1455 eV per atom.

# 8
Density functional theory data (meta-GGA SCAN) for a PBEsol-optimized structure of Mg2HgH2.

Geometry as POSCAR:
```
Mg2HgH2
1.0
-2.9443 -1.2361 0.6570
0.1711 -1.8364 -2.6883
4.0857 -3.1134 4.3636
H Mg Hg
2 2 1
Direct
0.7500 0.2500 0.5000 H
0.2500 0.7500 0.5000 H
0.6576 0.6576 0.3151 Mg
0.3424 0.3424 0.6849 Mg
0.0000 0.0000 0.0000 Hg
```

Summary:
For the uncorrected energy, the calculation gives -17.2241 eV per atom.

Question: Which of these has the lowest uncorrected energy?
Answer: KHg2H